1.
A geometry-optimized PrErTlAg structure, computed with PBE-GGA.

Offset from the most stable computed form   0.0000 eV/atom
Space-group type   P4mm, No. 99

Unit cell a=3.6900 b=3.6900 c=7.8991 alpha=90.00 beta=90.00 gamma=90.00
With the nearest neighbours (Å) after each atom.
Fractional coordinates of all 4 atoms:
Pr 0.0000 0.0000 0.0000  4 Ag 3.36, 4 Tl 3.41, 4 Pr 3.69, 1 Er 3.71
Er 0.0000 0.0000 0.5301  4 Ag 3.06, 4 Tl 3.29
Tl 0.5000 0.5000 0.2770  4 Er 3.29, 4 Pr 3.41, 1 Ag 3.60
Ag 0.5000 0.5000 0.7326  4 Er 3.06, 4 Pr 3.36

2.
A geometry-optimized Pr4Dy5Y2 structure, computed with PBE-GGA.

Offset from the most stable computed form   0.0071 eV/atom
Space-group type   C2/m, No. 12

Unit cell a=6.7256 b=6.7256 c=9.2319 alpha=102.62 beta=102.62 gamma=67.70
With the nearest neighbours (Å) after each atom.
Fractional coordinates of all 11 atoms:
Pr 0.1699 0.1699 0.1186  2 Pr 3.44-3.85, 6 Dy 3.47-3.52, 3 Y 3.48-3.76
Pr 0.1894 0.1894 0.4967  1 Pr 3.44, 5 Dy 3.46-3.72, 1 Y 3.51
Pr 0.8106 0.8106 0.5033  1 Pr 3.44, 5 Dy 3.46-3.72, 1 Y 3.51
Pr 0.8301 0.8301 0.8814  2 Pr 3.44-3.85, 6 Dy 3.47-3.52, 3 Y 3.48-3.76
Dy 0.1478 0.7062 0.2231  2 Dy 3.24-3.31, 2 Y 3.46-3.51, 4 Pr 3.47-3.59
Dy 0.2938 0.8522 0.7769  2 Dy 3.24-3.31, 2 Y 3.46-3.51, 4 Pr 3.47-3.59
Dy 0.5000 0.5000 0.5000  4 Dy 3.24, 2 Pr 3.46
Dy 0.7062 0.1478 0.2231  2 Dy 3.24-3.31, 2 Y 3.46-3.51, 4 Pr 3.47-3.59
Dy 0.8522 0.2938 0.7769  2 Dy 3.24-3.31, 2 Y 3.46-3.51, 4 Pr 3.47-3.59
Y 0.3602 0.3602 0.8752  1 Y 3.36, 6 Dy 3.46-3.74, 2 Pr 3.48-3.51
Y 0.6398 0.6398 0.1248  1 Y 3.36, 6 Dy 3.46-3.74, 2 Pr 3.48-3.51

3.
A geometry-optimized InAgHgS2 structure, computed with PBE-GGA.

Space-group type   P4/mmm, No. 123

Unit cell a=5.0831 b=5.0831 c=5.5008 alpha=90.00 beta=90.00 gamma=90.00
With the nearest neighbours (Å) after each atom.
Fractional coordinates of all 5 atoms:
In 0.0000 0.0000 0.0000  4 S 2.54, 2 Hg 2.75
Ag 0.5000 0.5000 0.5000  4 Hg 3.59, 8 S 3.74
Hg 0.0000 0.0000 0.5000  2 In 2.75
S 0.0000 0.5000 0.0000  2 In 2.54
S 0.5000 0.0000 0.0000  2 In 2.54

4.
A geometry-optimized AlHg2Os structure, computed with PBE-GGA.

Space-group type   R3m, No. 160

Unit cell a=9.8961 b=9.8961 c=9.8961 alpha=17.42 beta=17.42 gamma=17.42
With the nearest neighbours (Å) after each atom.
Fractional coordinates of all 4 atoms:
Al 0.0000 0.0000 0.0000  3 Os 2.48
Hg 0.2457 0.2457 0.2457  6 Hg 3.00, 3 Al 3.09
Hg 0.4783 0.4783 0.4783  6 Hg 3.00, 3 Os 3.00
Os 0.7277 0.7277 0.7277  3 Al 2.48

5.
A geometry-optimized CsTb2I7 structure, computed with PBE-GGA.

Space-group type   Cmmm, No. 65

Unit cell a=9.3274 b=9.3274 c=6.0802 alpha=90.00 beta=90.00 gamma=116.66
With the nearest neighbours (Å) after each atom.
Fractional coordinates of all 10 atoms:
Cs 0.0000 0.0000 0.0000  8 I 4.20
Tb 0.3023 0.6977 0.5000  7 I 3.04-3.19
Tb 0.6977 0.3023 0.5000  7 I 3.04-3.19
I 0.0477 0.3285 0.5000  2 Tb 3.16-3.19
I 0.2985 0.7015 0.0000  2 Tb 3.04
I 0.3285 0.0477 0.5000  2 Tb 3.16-3.19
I 0.5000 0.5000 0.5000  2 Tb 3.14
I 0.6715 0.9523 0.5000  2 Tb 3.16-3.19
I 0.7015 0.2985 0.0000  2 Tb 3.04
I 0.9523 0.6715 0.5000  2 Tb 3.16-3.19

6.
A geometry-optimized Tb3TmTh structure, computed with PBE-GGA.

Offset from the most stable computed form   0.0000 eV/atom
Space-group type   Cmmm, No. 65

Unit cell a=6.2107 b=6.2107 c=10.9518 alpha=90.00 beta=90.00 gamma=129.22
With the nearest neighbours (Å) after each atom.
Fractional coordinates of all 10 atoms:
Tb 0.0000 0.0000 0.1693  5 Tb 3.48-3.71, 4 Tm 3.68
Tb 0.0000 0.0000 0.8307  5 Tb 3.48-3.71, 4 Tm 3.68
Tb 0.3479 0.6521 0.3016  3 Th 3.22-3.44, 1 Tm 3.30, 5 Tb 3.41-3.48
Tb 0.3479 0.6521 0.6984  3 Th 3.22-3.44, 1 Tm 3.30, 5 Tb 3.41-3.48
Tb 0.6521 0.3479 0.3016  3 Th 3.22-3.44, 1 Tm 3.30, 5 Tb 3.41-3.48
Tb 0.6521 0.3479 0.6984  3 Th 3.22-3.44, 1 Tm 3.30, 5 Tb 3.41-3.48
Tm 0.3452 0.6548 0.0000  6 Tb 3.30-3.68, 3 Tm 3.41-3.47
Tm 0.6548 0.3452 0.0000  6 Tb 3.30-3.68, 3 Tm 3.41-3.47
Th 0.1358 0.8642 0.5000  1 Th 3.05, 2 Tb 3.22
Th 0.8642 0.1358 0.5000  1 Th 3.05, 2 Tb 3.22

7.
A geometry-optimized NiMoCl structure, computed with PBE-GGA.

Offset from the most stable computed form   0.7594 eV/atom
Space-group type   F-43m, No. 216

Unit cell a=3.9515 b=3.9515 c=3.9515 alpha=60.00 beta=60.00 gamma=60.00
With the nearest neighbours (Å) after each atom.
Fractional coordinates of all 3 atoms:
Ni 0.0000 0.0000 0.0000  4 Cl 2.42
Mo 0.5000 0.5000 0.5000  4 Cl 2.42
Cl 0.2500 0.2500 0.2500  4 Mo 2.42, 4 Ni 2.42

8.
A geometry-optimized AlInPd structure, computed with PBE-GGA.

Space-group type   R-3m, No. 166

Unit cell a=7.8606 b=7.8606 c=7.8606 alpha=31.80 beta=31.80 gamma=31.80
With the nearest neighbours (Å) after each atom.
Fractional coordinates of all 6 atoms:
Al 0.1292 0.1292 0.1292  4 Pd 2.51-2.62
Al 0.8708 0.8708 0.8708  4 Pd 2.51-2.62
In 0.3740 0.3740 0.3740  4 Pd 2.74-2.97
In 0.6260 0.6260 0.6260  4 Pd 2.74-2.97
Pd 0.2412 0.2412 0.2412  4 Al 2.51-2.62, 3 In 2.74
Pd 0.7588 0.7588 0.7588  4 Al 2.51-2.62, 3 In 2.74

9.
A geometry-optimized Pu2MnSn structure, computed with PBE-GGA.

Offset from the most stable computed form   0.0000 eV/atom
Space-group type   P4/mmm, No. 123

Unit cell a=4.4005 b=4.4005 c=4.5925 alpha=90.00 beta=90.00 gamma=90.00
With the nearest neighbours (Å) after each atom.
Fractional coordinates of all 4 atoms:
Pu 0.0000 0.5000 0.0000  4 Pu 3.11, 4 Mn 3.18, 4 Sn 3.18
Pu 0.5000 0.0000 0.0000  4 Pu 3.11, 4 Mn 3.18, 4 Sn 3.18
Mn 0.0000 0.0000 0.5000  4 Sn 3.11, 8 Pu 3.18
Sn 0.5000 0.5000 0.5000  4 Mn 3.11, 8 Pu 3.18

10.
A geometry-optimized NdGePb structure, computed with PBE-GGA.

Offset from the most stable computed form   0.2186 eV/atom
Space-group type   P3m1, No. 156

Unit cell a=4.7863 b=4.7863 c=4.2234 alpha=90.00 beta=90.00 gamma=120.00
With the nearest neighbours (Å) after each atom.
Fractional coordinates of all 3 atoms:
Nd 0.0000 0.0000 0.0000  3 Ge 3.15, 3 Pb 3.33
Ge 0.3333 0.6667 0.3559  3 Pb 2.89, 3 Nd 3.15
Pb 0.6667 0.3333 0.5598  3 Ge 2.89

11.
A geometry-optimized Zr6In3Ag structure, computed with PBE-GGA.

Space-group type   Cmc2_1, No. 36

Unit cell a=9.8048 b=9.8048 c=5.7135 alpha=90.00 beta=90.00 gamma=123.94
With the nearest neighbours (Å) after each atom.
Fractional coordinates of all 20 atoms:
Zr 0.0166 0.9834 0.5000  2 Ag 2.91-3.00, 4 Zr 2.91-3.21, 4 In 2.92-3.02
Zr 0.0638 0.5747 0.5289  1 Ag 2.91, 2 In 2.98-3.01, 4 Zr 3.02-3.13
Zr 0.2533 0.3774 0.1974  5 In 3.16-3.24, 4 Zr 3.17-3.53, 1 Ag 3.33
Zr 0.2869 0.7131 0.1021  1 Ag 2.91, 6 Zr 3.02-3.17
Zr 0.3774 0.2533 0.6974  5 In 3.16-3.24, 4 Zr 3.17-3.53, 1 Ag 3.33
Zr 0.4253 0.9362 0.5289  1 Ag 2.91, 2 In 2.98-3.01, 4 Zr 3.02-3.13
Zr 0.5747 0.0638 0.0289  1 Ag 2.91, 2 In 2.98-3.01, 4 Zr 3.02-3.13
Zr 0.6226 0.7467 0.1974  5 In 3.16-3.24, 4 Zr 3.17-3.53, 1 Ag 3.33
Zr 0.7131 0.2869 0.6021  1 Ag 2.91, 6 Zr 3.02-3.17
Zr 0.7467 0.6226 0.6974  5 In 3.16-3.24, 4 Zr 3.17-3.53, 1 Ag 3.33
Zr 0.9362 0.4253 0.0289  1 Ag 2.91, 2 In 2.98-3.01, 4 Zr 3.02-3.13
Zr 0.9834 0.0166 0.0000  2 Ag 2.91-3.00, 4 Zr 2.91-3.21, 4 In 2.92-3.02
In 0.0831 0.2997 0.7014  1 In 2.86, 1 Ag 2.87, 7 Zr 2.92-3.20
In 0.2997 0.0831 0.2014  1 In 2.86, 1 Ag 2.87, 7 Zr 2.92-3.20
In 0.4035 0.5965 0.6544  2 In 2.86, 2 Zr 3.17
In 0.5965 0.4035 0.1544  2 In 2.86, 2 Zr 3.17
In 0.7003 0.9169 0.7014  1 In 2.86, 1 Ag 2.87, 7 Zr 2.92-3.20
In 0.9169 0.7003 0.2014  1 In 2.86, 1 Ag 2.87, 7 Zr 2.92-3.20
Ag 0.1466 0.8534 0.8218  2 In 2.87, 5 Zr 2.91-3.00
Ag 0.8534 0.1466 0.3218  2 In 2.87, 5 Zr 2.91-3.00

12.
A geometry-optimized KNdTlSe3 structure, computed with PBE-GGA.

Space-group type   P2_1/m, No. 11

Unit cell a=9.1471 b=4.2837 c=10.3533 alpha=90.00 beta=101.34 gamma=90.00
With the nearest neighbours (Å) after each atom.
Fractional coordinates of all 12 atoms:
K 0.1696 0.2500 0.1960  4 Se 3.28-3.39
K 0.8304 0.7500 0.8040  4 Se 3.28-3.39
Nd 0.3572 0.7500 0.8483  6 Se 2.94-3.06
Nd 0.6428 0.2500 0.1517  6 Se 2.94-3.06
Tl 0.1354 0.2500 0.5634  3 Se 2.81-2.82
Tl 0.8646 0.7500 0.4366  3 Se 2.81-2.82
Se 0.1230 0.2500 0.8333  1 Tl 2.82, 2 Nd 3.01
Se 0.3301 0.7500 0.5491  2 Tl 2.81, 1 Nd 3.06
Se 0.4206 0.7500 0.1385  3 Nd 2.94-2.95, 2 K 3.28
Se 0.5794 0.2500 0.8615  3 Nd 2.94-2.95, 2 K 3.28
Se 0.6699 0.2500 0.4509  2 Tl 2.81, 1 Nd 3.06
Se 0.8770 0.7500 0.1667  1 Tl 2.82, 2 Nd 3.01

Number 1: spin magnetization 0.03 μB/atom, VASP energy -3.97 eV/atom. Number 2: spin magnetization 0.00 μB/atom, VASP energy -4.90 eV/atom. Number 3: spin magnetization 0.00 μB/atom, VASP energy -2.42 eV/atom. Number 4: spin magnetization 0.00 μB/atom, VASP energy -3.59 eV/atom. Number 5: spin magnetization 0.00 μB/atom, VASP energy -3.47 eV/atom. Number 6: spin magnetization 0.00 μB/atom, VASP energy -4.95 eV/atom. Number 7: spin magnetization 0.00 μB/atom, VASP energy -5.22 eV/atom. Number 8: spin magnetization 0.00 μB/atom, VASP energy -4.36 eV/atom. Number 9: spin magnetization 1.91 μB/atom, VASP energy -10.62 eV/atom. Number 10: spin magnetization 0.00 μB/atom, VASP energy -4.69 eV/atom. Number 11: spin magnetization 0.00 μB/atom, VASP energy -6.27 eV/atom. Number 12: spin magnetization 0.00 μB/atom, VASP energy -4.27 eV/atom.